The following is a GGA-PBE calculation of a geometry-optimized YP structure, from the Alexandria database.

Output
- Volume: 23.353 Å³/atom
- Raw total energy: -7.40 eV per atom
- Magnetization: 0.00 Bohr magnetons per cell
- Symmetry: R3m (160)
- E_form: -1.460 eV/atom

Cell lengths 7.194, 7.194, 7.194 Å; angles 32.10, 32.10, 32.10 degrees
Element x y z (fractional)
Y (0.000, 0.000, 0.000)
Y (0.172, 0.172, 0.172)
P (0.585, 0.585, 0.585)
P (0.753, 0.753, 0.753)

***

The following is a GGA-PBE calculation of a geometry-optimized LaCdIn structure, from the Alexandria database.

Output
- Volume: 29.928 Å³/atom
- Raw total energy: -3.19 eV per atom
- Magnetization: 0.00 Bohr magnetons per cell
- Symmetry: R3m (160)
- E_form: -0.330 eV/atom

Cell lengths 8.714, 8.714, 8.714 Å; angles 33.50, 33.50, 33.50 degrees
Element x y z (fractional)
La (0.000, 0.000, 0.000)
La (0.165, 0.165, 0.165)
Cd (0.582, 0.582, 0.582)
Cd (0.877, 0.877, 0.877)
In (0.431, 0.431, 0.431)
In (0.737, 0.737, 0.737)

***

The following is a GGA-PBE calculation of a geometry-optimized Zn7Si6 structure, from the Alexandria database.

Output
- Volume: 16.040 Å³/atom
- Raw total energy: -2.80 eV per atom
- Magnetization: 0.00 Bohr magnetons per cell
- Symmetry: R-3m (166)
- Energy relative to the elements, uncorrected: 0.393 eV/atom

Cell lengths 10.079, 10.079, 10.079 Å; angles 28.68, 28.68, 28.68 degrees
Element x y z (fractional)
Zn (0.000, 0.000, 0.000)
Zn (0.087, 0.087, 0.587)
Zn (0.087, 0.587, 0.087)
Zn (0.413, 0.913, 0.913)
Zn (0.587, 0.087, 0.087)
Zn (0.913, 0.413, 0.913)
Zn (0.913, 0.913, 0.413)
Si (0.167, 0.167, 0.167)
Si (0.333, 0.333, 0.333)
Si (0.455, 0.455, 0.455)
Si (0.545, 0.545, 0.545)
Si (0.667, 0.667, 0.667)
Si (0.833, 0.833, 0.833)

***

The following is a GGA-PBE calculation of a geometry-optimized LiMg3Al2 structure, from the Alexandria database.

Output
- Volume: 19.652 Å³/atom
- Raw total energy: -2.39 eV per atom
- Magnetization: 0.00 Bohr magnetons per cell
- Symmetry: Cmmm (65)
- E_form: -0.030 eV/atom

Cell lengths 6.818, 6.818, 4.283 Å; angles 90.00, 90.00, 143.69 degrees
Element x y z (fractional)
Li (0.000, 0.000, 0.000)
Mg (0.167, 0.833, 0.500)
Mg (0.500, 0.500, 0.500)
Mg (0.833, 0.167, 0.500)
Al (0.325, 0.675, 0.000)
Al (0.675, 0.325, 0.000)

***

The following is a GGA-PBE calculation of a geometry-optimized La2Mn2Fe structure, from the Alexandria database.

Output
- Volume: 21.029 Å³/atom
- Raw total energy: -6.94 eV per atom
- Magnetization: 13.93 Bohr magnetons per cell
- Symmetry: P4/mbm (127)
- E_form: 0.391 eV/atom

Cell lengths 6.786, 6.786, 4.566 Å; angles 90.00, 90.00, 90.00 degrees
Element x y z (fractional)
La (0.177, 0.323, 0.000)
La (0.323, 0.823, 0.000)
La (0.677, 0.177, 0.000)
La (0.823, 0.677, 0.000)
Mn (0.141, 0.641, 0.500)
Mn (0.359, 0.141, 0.500)
Mn (0.641, 0.859, 0.500)
Mn (0.859, 0.359, 0.500)
Fe (0.000, 0.000, 0.500)
Fe (0.500, 0.500, 0.500)

***

The following is a GGA-PBE calculation of a geometry-optimized P3PdPt structure, from the Alexandria database.

Output
- Volume: 20.384 Å³/atom
- Raw total energy: -4.58 eV per atom
- Magnetization: 0.00 Bohr magnetons per cell
- Symmetry: Pm-3m (221)
- E above lowest polymorph: 0.000 eV/f.u.
- E_form: 0.914 eV/atom

Cell lengths 4.671, 4.671, 4.671 Å; angles 90.00, 90.00, 90.00 degrees
Element x y z (fractional)
P (0.000, 0.000, 0.500)
P (0.000, 0.500, 0.000)
P (0.500, 0.000, 0.000)
Pd (0.500, 0.500, 0.500)
Pt (0.000, 0.000, 0.000)

***

The following is a GGA-PBE calculation of a geometry-optimized Ca2AgSbPd structure, from the Alexandria database.

Output
- Volume: 29.800 Å³/atom
- Raw total energy: -3.32 eV per atom
- Magnetization: 0.00 Bohr magnetons per cell
- Symmetry: P4/mmm (123)
- Energy relative to the elements, uncorrected: -0.088 eV/atom

Cell lengths 5.491, 5.491, 4.941 Å; angles 90.00, 90.00, 90.00 degrees
Element x y z (fractional)
Ca (0.000, 0.500, 0.000)
Ca (0.500, 0.000, 0.000)
Ag (0.000, 0.000, 0.000)
Sb (0.500, 0.500, 0.500)
Pd (0.000, 0.000, 0.500)

***

The following is a GGA-PBE calculation of a geometry-optimized Sr3In11 structure, from the Alexandria database.

Output
- Volume: 29.283 Å³/atom
- Raw total energy: -2.81 eV per atom
- Magnetization: 0.00 Bohr magnetons per cell
- Symmetry: Immm (71)
- E_form: -0.303 eV/atom

Cell lengths 9.557, 9.557, 9.557 Å; angles 150.17, 105.37, 82.38 degrees
Element x y z (fractional)
Sr (0.000, 0.000, 0.000)
Sr (0.311, 0.311, 0.000)
Sr (0.689, 0.689, 0.000)
In (0.032, 0.657, 0.374)
In (0.130, 0.853, 0.277)
In (0.283, 0.657, 0.626)
In (0.304, 0.500, 0.804)
In (0.424, 0.147, 0.277)
In (0.500, 0.000, 0.500)
In (0.576, 0.853, 0.723)
In (0.696, 0.500, 0.196)
In (0.717, 0.343, 0.374)
In (0.870, 0.147, 0.723)
In (0.968, 0.343, 0.626)